Record 1
Ac3Si2Sn3: relaxed, PBE. Values from VASP.

Summary:
As for the space group: Cmcm (63). The value obtained for the formation energy without anion corrections is -0.515 eV/atom. As for the excess energy over the best structure of this formula in the dataset: 0 meV/atom. Its theoretical density is 7.5 g/cm3.

```
&SYSTEM
  ibrav = 0, nat = 16, ntyp = 3
/
ATOMIC_SPECIES
Ac 227.00 Ac.upf
Sn 118.71 Sn.upf
Si 28.09 Si.upf
CELL_PARAMETERS angstrom
4.4057 0.0000 0.0000
-2.2029 6.1700 0.0000
0.0000 0.0000 17.9245
ATOMIC_POSITIONS angstrom
Ac 0.0000 5.0797 13.4434
Ac 2.2029 1.0904 4.4811
Ac 2.2029 4.5280 1.6648
Ac 2.2029 4.5280 7.2975
Ac 0.0000 1.6420 16.2598
Ac 0.0000 1.6420 10.6270
Sn 0.0000 5.0605 9.9877
Sn 2.2029 1.1096 7.9369
Sn 0.0000 5.0605 16.8991
Sn 2.2029 1.1096 1.0254
Sn 0.0000 3.8641 4.4811
Sn 2.2029 2.3060 13.4434
Si 2.2029 4.0971 15.5681
Si 0.0000 2.0729 6.6058
Si 2.2029 4.0971 11.3187
Si 0.0000 2.0729 2.3565
```

Record 2
Ac8SiSn3: relaxed, PBE. Values from VASP.

Summary:
As for the space group: I4/mmm (139). The value obtained for the formation energy without anion corrections is -0.358 eV/atom. Its theoretical density is 7.6 g/cm3.

```
&SYSTEM
  ibrav = 0, nat = 12, ntyp = 3
/
ATOMIC_SPECIES
Ac 227.00 Ac.upf
Sn 118.71 Sn.upf
Si 28.09 Si.upf
CELL_PARAMETERS angstrom
7.8385 0.0000 0.0000
0.0000 7.8385 0.0000
-3.9193 -3.9193 7.8597
ATOMIC_POSITIONS angstrom
Ac 2.0077 -2.0077 5.9536
Ac 1.9116 1.9116 1.9061
Ac 5.9270 1.9116 1.9061
Ac 2.0077 2.0077 5.9536
Ac 1.9116 5.9270 1.9061
Ac -2.0077 2.0077 5.9536
Ac -2.0077 -2.0077 5.9536
Ac 5.9270 5.9270 1.9061
Sn 3.9193 3.9193 0.0000
Sn 3.9193 0.0000 3.9298
Sn 0.0000 3.9193 3.9298
Si 0.0000 0.0000 0.0000
```

Record 3
Ac2SiSn: relaxed, PBE. Values from VASP.

Summary:
As for the space group: P2_1/m (11). The value obtained for the formation energy without anion corrections is -0.607 eV/atom. Its theoretical density is 7.7 g/cm3.

```
&SYSTEM
  ibrav = 0, nat = 8, ntyp = 3
/
ATOMIC_SPECIES
Si 28.09 Si.upf
Sn 118.71 Sn.upf
Ac 227.00 Ac.upf
CELL_PARAMETERS angstrom
4.3378 0.0000 0.0000
0.0000 6.5131 -0.1977
0.0000 -3.5094 9.2212
ATOMIC_POSITIONS angstrom
Si 3.2533 3.2751 2.5469
Si 1.0844 -0.2714 6.4766
Sn 1.0844 1.5289 1.8969
Sn 3.2533 1.4748 7.1267
Ac 1.0844 4.7758 0.5781
Ac 3.2533 -0.1318 4.0005
Ac 1.0844 3.1355 5.0231
Ac 3.2533 -1.7722 8.4454
```

Record 4
Ac2Si2Sn: relaxed, PBE. Values from VASP.

Summary:
As for the space group: Cmmm (65). The value obtained for the formation energy without anion corrections is -0.627 eV/atom. As for the excess energy over the best structure of this formula in the dataset: 0 meV/atom. Its theoretical density is 7.5 g/cm3.

```
&SYSTEM
  ibrav = 0, nat = 5, ntyp = 3
/
ATOMIC_SPECIES
Ac 227.00 Ac.upf
Sn 118.71 Sn.upf
Si 28.09 Si.upf
CELL_PARAMETERS angstrom
-0.5322 4.3196 -1.5806
-2.6138 -1.3240 -2.7382
-4.3288 1.7446 6.2253
ATOMIC_POSITIONS angstrom
Ac -3.0612 1.7837 -0.8770
Ac -4.4136 2.9565 2.7836
Sn 0.0000 0.0000 0.0000
Si -4.6348 -0.0227 1.4985
Si -2.3078 0.4433 1.9886
```

Record 5
Ac8SiSn5: relaxed, PBE. Values from VASP.

Summary:
As for the space group: I-4 (82). The value obtained for the formation energy without anion corrections is -0.658 eV/atom. Its theoretical density is 7.8 g/cm3.

```
&SYSTEM
  ibrav = 0, nat = 14, ntyp = 3
/
ATOMIC_SPECIES
Si 28.09 Si.upf
Ac 227.00 Ac.upf
Sn 118.71 Sn.upf
CELL_PARAMETERS angstrom
8.7690 0.0133 -0.0229
-2.9545 8.2563 0.0229
-2.8600 -4.1681 7.1655
ATOMIC_POSITIONS angstrom
Si -1.4300 1.0054 5.3799
Ac 4.9037 0.5150 2.6861
Ac 1.7799 4.0691 1.6750
Ac -2.5877 4.0355 3.7076
Ac -1.0685 6.1119 0.0410
Ac 1.8131 -0.4165 6.2623
Ac 6.2537 -2.0266 5.2696
Ac 0.4254 0.5192 2.7758
Ac 0.2985 3.5986 6.2445
Sn 2.9545 -2.0774 3.5713
Sn 7.2880 2.5788 0.8756
Sn 4.3872 6.1825 1.7858
Sn 2.9152 1.0410 0.0127
Sn 2.9477 2.5823 4.4684
```

Record 6
Ac2Si2Sn: relaxed, PBE. Values from VASP.

Summary:
As for the space group: P4/mbm (127). The value obtained for the formation energy without anion corrections is -0.593 eV/atom. As for the excess energy over the best structure of this formula in the dataset: 34 meV/atom. Its theoretical density is 7.4 g/cm3.

```
&SYSTEM
  ibrav = 0, nat = 20, ntyp = 3
/
ATOMIC_SPECIES
Si 28.09 Si.upf
Ac 227.00 Ac.upf
Sn 118.71 Sn.upf
CELL_PARAMETERS angstrom
-3.2282 -5.2680 4.7466
7.0881 -2.5466 1.9943
0.2420 6.1334 6.9718
ATOMIC_POSITIONS angstrom
Si 2.4785 -0.0370 3.0405
Si 5.2342 0.2725 8.8606
Si -1.0112 1.1131 8.3380
Si -1.1322 -1.9537 4.8521
Si 2.5995 3.0297 6.5264
Si 1.6235 -1.6442 10.6722
Si 5.1132 -2.7942 5.3747
Si 1.5025 -4.7109 7.1863
Ac 3.7194 -2.6082 8.3535
Ac 4.2463 -2.6938 2.2225
Ac -0.3863 -5.1208 4.5184
Ac 4.3663 0.3726 5.7087
Ac 0.2612 -2.1389 1.8726
Ac -0.2643 -2.0538 8.0041
Ac 0.3826 0.9271 5.3592
Ac 3.5988 -5.6757 4.8683
Sn 0.0605 1.5340 1.7436
Sn 1.9905 -2.3745 5.1127
Sn 2.1115 0.6934 8.6000
Sn 0.1815 4.5995 5.2282
```

Record 7
AcSiSn: relaxed, PBE. Values from VASP.

Summary:
As for the space group: C2/m (12). The value obtained for the formation energy without anion corrections is -0.516 eV/atom. As for the excess energy over the best structure of this formula in the dataset: 0 meV/atom. Its theoretical density is 7.3 g/cm3.

```
&SYSTEM
  ibrav = 0, nat = 6, ntyp = 3
/
ATOMIC_SPECIES
Sn 118.71 Sn.upf
Si 28.09 Si.upf
Ac 227.00 Ac.upf
CELL_PARAMETERS angstrom
4.4472 0.0000 -0.1389
0.0000 4.5723 0.0000
-1.9359 -2.2862 8.4608
ATOMIC_POSITIONS angstrom
Sn -0.9296 0.0000 5.1315
Sn 3.4409 2.2862 3.1904
Si 3.3513 2.2862 0.4132
Si -0.8400 0.0000 7.9087
Ac 1.1713 0.0000 1.7975
Ac 1.3400 2.2862 6.5245
```

Record 8
Ac4Si2Sn5: relaxed, PBE. Values from VASP.

Summary:
As for the space group: P2/m (10). The value obtained for the formation energy without anion corrections is -0.611 eV/atom. Its theoretical density is 7.7 g/cm3.

```
&SYSTEM
  ibrav = 0, nat = 11, ntyp = 3
/
ATOMIC_SPECIES
Sn 118.71 Sn.upf
Ac 227.00 Ac.upf
Si 28.09 Si.upf
CELL_PARAMETERS angstrom
4.7644 0.0000 0.0000
0.0000 7.7216 0.0890
0.0000 -0.6431 9.1200
ATOMIC_POSITIONS angstrom
Sn 0.0000 6.1384 7.9899
Sn 0.0000 3.8608 0.0445
Sn 0.0000 0.9401 1.2191
Sn 0.0000 4.1090 3.1780
Sn 0.0000 2.9695 6.0310
Ac 2.3822 1.5785 3.6608
Ac 2.3822 5.4999 5.5482
Ac 2.3822 5.9409 1.3387
Ac 2.3822 1.1376 7.8702
Si 0.0000 6.8573 3.5688
Si 0.0000 0.2211 5.6402
```